# 1
A relaxed YSc2OsO8 crystal. Source: the Alexandria database, functional PBE-GGA. Values from VASP.

Geometry as Quantum ESPRESSO input:
```
&SYSTEM
  ibrav = 0, nat = 12, ntyp = 4
/
ATOMIC_SPECIES
Y 88.91 Y.upf
Sc 44.96 Sc.upf
Os 190.23 Os.upf
O 16.00 O.upf
CELL_PARAMETERS angstrom
3.429 -3.452 0.000
3.429 3.452 0.000
0.000 0.000 6.535
ATOMIC_POSITIONS angstrom
Y 0.000 0.000 0.000
Sc 3.429 0.000 1.568
Sc 3.429 0.000 4.967
Os 0.000 0.000 3.267
O 1.333 0.000 1.882
O 1.333 0.000 4.653
O 3.429 1.568 3.267
O 3.429 1.266 0.000
O 3.429 -1.266 0.000
O 3.429 -1.568 3.267
O 5.526 0.000 1.882
O 5.526 0.000 4.653
```

Summary:
Calculated total energy (eV for the cell shown): -100.14
Symmetry: Cmmm
ΔE_f (raw) (meV/atom): -2510
V (Å³ per atom): 12.9
Calculated density (g/cm³): 5.3
Density of states at the Fermi level (states/eV/cell): 2.8

# 2
A relaxed Tl2TcF6 crystal. Source: the Alexandria database, functional PBE-GGA. Values from VASP.

Geometry as Quantum ESPRESSO input:
```
&SYSTEM
  ibrav = 0, nat = 9, ntyp = 3
/
ATOMIC_SPECIES
Tl 204.38 Tl.upf
Tc 98.00 Tc.upf
F 19.00 F.upf
CELL_PARAMETERS angstrom
0.000 4.419 4.419
4.419 0.000 4.419
4.419 4.419 0.000
ATOMIC_POSITIONS angstrom
Tl 2.210 2.210 2.210
Tl 6.629 6.629 6.629
Tc 0.000 0.000 0.000
F 4.419 4.419 1.969
F 4.419 1.969 4.419
F 6.870 4.419 4.419
F 1.969 4.419 4.419
F 4.419 6.870 4.419
F 4.419 4.419 6.870
```

Summary:
Calculated total energy (eV for the cell shown): -44.92
Symmetry: Fm-3m
ΔE_f (raw) (meV/atom): -2066
V (Å³ per atom): 19.2
Calculated density (g/cm³): 6.0
E above lowest polymorph (eV per atom): 0.010
Density of states at the Fermi level (states/eV/cell): 0.0

# 3
A relaxed Sm3Dy4Ga4 crystal. Source: the Alexandria database, functional PBE-GGA. Values from VASP.

Geometry as Quantum ESPRESSO input:
```
&SYSTEM
  ibrav = 0, nat = 11, ntyp = 3
/
ATOMIC_SPECIES
Sm 150.36 Sm.upf
Dy 162.50 Dy.upf
Ga 69.72 Ga.upf
CELL_PARAMETERS angstrom
-2.497 3.480 8.424
2.497 -3.480 8.424
2.497 3.480 -8.424
ATOMIC_POSITIONS angstrom
Sm 0.000 0.000 0.000
Sm 2.497 0.000 6.738
Sm 0.000 3.480 1.686
Dy 2.497 1.602 -2.982
Dy 2.497 1.602 2.982
Dy 0.000 1.878 5.442
Dy 0.000 1.878 11.405
Ga 0.000 0.000 3.035
Ga 2.497 2.125 0.000
Ga 0.000 1.355 8.424
Ga 0.000 0.000 13.813
```

Summary:
ΔE_f (meV per atom): -371
Calculated total energy (eV for the cell shown): -48.75
Symmetry: Immm
V (Å³ per atom): 26.6
Calculated density (g/cm³): 7.8
Density of states at the Fermi level (states/eV/cell): 11.0

# 4
A relaxed KIr3Os crystal. Source: the Alexandria database, functional PBE-GGA. Values from VASP.

Geometry as Quantum ESPRESSO input:
```
&SYSTEM
  ibrav = 0, nat = 5, ntyp = 3
/
ATOMIC_SPECIES
K 39.10 K.upf
Ir 192.22 Ir.upf
Os 190.23 Os.upf
CELL_PARAMETERS angstrom
4.575 0.000 0.000
0.000 4.575 0.000
0.000 0.000 4.575
ATOMIC_POSITIONS angstrom
K 0.000 0.000 0.000
Ir 0.000 0.000 2.288
Ir 0.000 2.288 0.000
Ir 2.288 0.000 0.000
Os 2.288 2.288 2.288
```

Summary:
ΔE_f (meV per atom): 3618
Calculated total energy (eV for the cell shown): -20.82
Symmetry: Pm-3m
V (Å³ per atom): 19.2
Calculated density (g/cm³): 14.0
E above lowest polymorph (eV per atom): 2.228
Density of states at the Fermi level (states/eV/cell): 7.5

# 5
A relaxed RbCeGd2 crystal. Source: the Alexandria database, functional PBE-GGA. Values from VASP.

Geometry as Quantum ESPRESSO input:
```
&SYSTEM
  ibrav = 0, nat = 4, ntyp = 3
/
ATOMIC_SPECIES
Rb 85.47 Rb.upf
Ce 140.12 Ce.upf
Gd 157.25 Gd.upf
CELL_PARAMETERS angstrom
2.118 1.223 10.882
-2.118 1.223 10.882
0.000 -2.446 10.882
ATOMIC_POSITIONS angstrom
Rb 0.000 0.000 0.000
Ce 0.000 0.000 16.323
Gd 0.000 0.000 3.885
Gd 0.000 0.000 28.760
```

Summary:
ΔE_f (meV per atom): 746
Calculated total energy (eV for the cell shown): -32.08
Symmetry: R-3m
V (Å³ per atom): 42.3
Calculated density (g/cm³): 5.3
Density of states at the Fermi level (states/eV/cell): 8.1

# 6
A relaxed DyCo8B4 crystal. Source: the Alexandria database, functional PBE-GGA. Values from VASP.

Geometry as Quantum ESPRESSO input:
```
&SYSTEM
  ibrav = 0, nat = 13, ntyp = 3
/
ATOMIC_SPECIES
Dy 162.50 Dy.upf
Co 58.93 Co.upf
B 10.81 B.upf
CELL_PARAMETERS angstrom
-3.792 3.792 2.191
3.792 -3.792 2.191
3.792 3.792 -2.191
ATOMIC_POSITIONS angstrom
Dy 0.000 0.000 0.000
Co 2.622 0.000 0.000
Co 4.962 0.000 0.000
Co 3.792 2.061 0.000
Co 0.000 2.622 0.000
Co 2.061 3.792 0.000
Co 1.731 0.000 2.191
Co 0.000 4.962 0.000
Co 0.000 1.731 2.191
B 1.896 1.896 -1.095
B 1.896 -1.896 1.095
B -1.896 1.896 1.095
B 1.896 1.896 1.095
```

Summary:
ΔE_f (meV per atom): -88
Calculated total energy (eV for the cell shown): -89.30
Symmetry: I4/mmm
V (Å³ per atom): 9.7
Calculated density (g/cm³): 8.9
Density of states at the Fermi level (states/eV/cell): 13.7

# 7
A relaxed IrOs3Pb crystal. Source: the Alexandria database, functional PBE-GGA. Values from VASP.

Geometry as Quantum ESPRESSO input:
```
&SYSTEM
  ibrav = 0, nat = 5, ntyp = 3
/
ATOMIC_SPECIES
Ir 192.22 Ir.upf
Os 190.23 Os.upf
Pb 207.20 Pb.upf
CELL_PARAMETERS angstrom
4.777 0.000 0.000
0.000 4.777 0.000
0.000 0.000 4.777
ATOMIC_POSITIONS angstrom
Ir 0.000 0.000 0.000
Os 0.000 0.000 2.389
Os 0.000 2.389 0.000
Os 2.389 0.000 0.000
Pb 2.389 2.389 2.389
```

Summary:
ΔE_f (meV per atom): 2076
Calculated total energy (eV for the cell shown): -35.88
Symmetry: Pm-3m
V (Å³ per atom): 21.8
Calculated density (g/cm³): 14.8
E above lowest polymorph (eV per atom): 0.000
Density of states at the Fermi level (states/eV/cell): 6.2

# 8
A relaxed Ca2MgW2 crystal. Source: the Alexandria database, functional PBE-GGA. Values from VASP.

Geometry as Quantum ESPRESSO input:
```
&SYSTEM
  ibrav = 0, nat = 5, ntyp = 3
/
ATOMIC_SPECIES
Ca 40.08 Ca.upf
Mg 24.30 Mg.upf
W 183.84 W.upf
CELL_PARAMETERS angstrom
-2.089 2.089 7.081
2.089 -2.089 7.081
2.089 2.089 -7.081
ATOMIC_POSITIONS angstrom
Ca 2.089 0.000 3.541
Ca 0.000 2.089 3.541
Mg 0.000 0.000 0.000
W 0.000 0.000 5.952
W 0.000 0.000 8.211
```

Summary:
ΔE_f (meV per atom): 1339
Calculated total energy (eV for the cell shown): -24.81
Symmetry: I4/mmm
V (Å³ per atom): 24.7
Calculated density (g/cm³): 6.3
E above lowest polymorph (eV per atom): 0.456
Density of states at the Fermi level (states/eV/cell): 4.5

# 9
A relaxed Tc2AgW crystal. Source: the Alexandria database, functional PBE-GGA. Values from VASP.

Geometry as Quantum ESPRESSO input:
```
&SYSTEM
  ibrav = 0, nat = 4, ntyp = 3
/
ATOMIC_SPECIES
Tc 98.00 Tc.upf
Ag 107.87 Ag.upf
W 183.84 W.upf
CELL_PARAMETERS angstrom
1.389 0.802 9.457
-1.389 0.802 9.457
0.000 -1.604 9.457
ATOMIC_POSITIONS angstrom
Tc 0.000 0.000 0.000
Tc 0.000 0.000 7.358
Ag 0.000 0.000 14.319
W 0.000 0.000 21.271
```

Summary:
ΔE_f (meV per atom): 294
Calculated total energy (eV for the cell shown): -35.36
Symmetry: R3m
V (Å³ per atom): 15.8
Calculated density (g/cm³): 12.8
E above lowest polymorph (eV per atom): 0.000
Density of states at the Fermi level (states/eV/cell): 1.5

# 10
A relaxed CaIn2Re crystal. Source: the Alexandria database, functional PBE-GGA. Values from VASP.

Geometry as Quantum ESPRESSO input:
```
&SYSTEM
  ibrav = 0, nat = 4, ntyp = 3
/
ATOMIC_SPECIES
Ca 40.08 Ca.upf
In 114.82 In.upf
Re 186.21 Re.upf
CELL_PARAMETERS angstrom
2.988 0.000 0.000
0.000 5.130 0.000
-0.594 0.000 5.592
ATOMIC_POSITIONS angstrom
Ca 0.000 0.000 0.000
In 1.214 0.000 2.896
In 1.587 2.565 1.331
Re 0.401 2.565 4.049
```

Summary:
ΔE_f (meV per atom): 435
Calculated total energy (eV for the cell shown): -18.19
Symmetry: Pm
V (Å³ per atom): 21.4
Calculated density (g/cm³): 8.8
E above lowest polymorph (eV per atom): 0.187
Density of states at the Fermi level (states/eV/cell): 2.7

# 11
A relaxed CaY2Sn crystal. Source: the Alexandria database, functional PBE-GGA. Values from VASP.

Geometry as Quantum ESPRESSO input:
```
&SYSTEM
  ibrav = 0, nat = 8, ntyp = 3
/
ATOMIC_SPECIES
Ca 40.08 Ca.upf
Y 88.91 Y.upf
Sn 118.71 Sn.upf
CELL_PARAMETERS angstrom
-4.500 4.500 3.341
4.500 -4.500 3.341
4.500 4.500 -3.341
ATOMIC_POSITIONS angstrom
Ca 0.000 0.000 0.000
Ca 0.000 4.500 1.671
Y 2.250 -1.832 2.506
Y 2.668 2.250 0.835
Y 2.250 6.331 -0.835
Y 1.832 2.250 4.177
Sn 4.500 0.000 1.671
Sn 0.000 0.000 3.341
```

Summary:
ΔE_f (meV per atom): -66
Calculated total energy (eV for the cell shown): -38.39
Symmetry: I-42d
V (Å³ per atom): 33.8
Calculated density (g/cm³): 4.1
Density of states at the Fermi level (states/eV/cell): 4.7

# 12
A relaxed Ba3In3Ag8 crystal. Source: the Alexandria database, functional PBE-GGA. Values from VASP.

Geometry as Quantum ESPRESSO input:
```
&SYSTEM
  ibrav = 0, nat = 14, ntyp = 3
/
ATOMIC_SPECIES
Ba 137.33 Ba.upf
In 114.82 In.upf
Ag 107.87 Ag.upf
CELL_PARAMETERS angstrom
8.870 -2.372 0.000
8.870 2.372 0.000
-5.322 0.000 8.895
ATOMIC_POSITIONS angstrom
Ba 0.000 0.000 0.000
Ba 3.524 0.000 3.054
Ba 8.894 0.000 5.840
In -2.661 0.000 4.447
In 0.432 0.000 8.765
In 11.986 0.000 0.130
Ag -0.105 0.000 3.303
Ag -2.145 0.000 7.338
Ag 2.412 0.000 6.593
Ag 7.108 0.000 2.589
Ag 5.310 0.000 6.305
Ag 10.006 0.000 2.301
Ag 14.562 0.000 1.556
Ag 12.522 0.000 5.592
```

Summary:
ΔE_f (meV per atom): -240
Calculated total energy (eV for the cell shown): -40.15
Symmetry: C2/m
V (Å³ per atom): 26.7
Calculated density (g/cm³): 7.2
E above lowest polymorph (eV per atom): 0.000
Density of states at the Fermi level (states/eV/cell): 6.9